Density functional theory data (GGA-PBE) for an optimized crystal structure of CuNiPd.

Summary:
Crystal system   triclinic
Formation energy   0.018 eV/atom
VASP energy   -15.02 eV/f.u.
E above lowest polymorph   0.39 kJ/mol of atoms

```
data_CuNiPd
_space_group_name_H-M_alt 'P -1'
_space_group_IT_number 2
_space_group_name_Hall '-P 1'
_cell_length_a 4.309
_cell_length_b 4.467
_cell_length_c 4.587
_cell_angle_alpha 61.11
_cell_angle_beta 89.86
_cell_angle_gamma 89.93
loop_
_atom_site_label
_atom_site_type_symbol
_atom_site_fract_x
_atom_site_fract_y
_atom_site_fract_z
_atom_site_occupancy
Cu1 Cu 0.250 0.149 0.345 1
Ni1 Ni 0.250 0.492 0.651 1
Pd1 Pd 0.250 0.808 0.002 1
```